Entry 1:
Crystalline Rb3NdHo3Te8 at its relaxed geometry, computed with GGA-PBE.

Formation energy without anion corrections = -1.31 eV per atom

Cell lengths 8.8639, 8.8676, 10.1800 Å; angles 115.85, 90.00, 119.98 degrees
With the nearest neighbours (Å) after each atom.
Sites, in units of the cell vectors:
Ho (0.0000, 0.5000, 0.5000)  6 Te 3.08-3.10
Ho (0.5000, 0.5000, 0.5000)  6 Te 3.08-3.10
Te (0.2397, 0.9625, 0.7019)  2 Ho 3.08, 1 Nd 3.19
Ho (0.5000, 0.0000, 0.5000)  6 Te 3.08-3.10
Te (0.7604, 0.5208, 0.2981)  2 Ho 3.08, 1 Nd 3.19
Te (0.2671, 0.5342, 0.3014)  3 Ho 3.10
Te (0.2771, 0.0374, 0.2981)  2 Ho 3.08, 1 Nd 3.19
Te (0.7229, 0.9626, 0.7019)  2 Ho 3.08, 1 Nd 3.19
Nd (0.0000, 0.0000, 0.5000)  6 Te 3.19
Rb (0.5000, 0.5000, 0.0000)  6 Te 3.69-3.70
Te (0.7329, 0.4658, 0.6986)  3 Ho 3.10
Rb (0.0000, 0.5000, 0.0000)  6 Te 3.69-3.70
Rb (0.0000, 0.0000, 0.0000)  6 Te 3.68-3.70
Te (0.7603, 0.0375, 0.2981)  2 Ho 3.08, 1 Nd 3.19
Te (0.2396, 0.4792, 0.7019)  2 Ho 3.08, 1 Nd 3.19

Entry 2:
Crystalline ScCoTc2 at its relaxed geometry, computed with GGA-PBE.

Energy above the most stable polymorph in this dataset = 101 meV per atom
Energy relative to the elements = 6 meV/atom

Cell lengths 5.4835, 5.4835, 4.3546 Å; angles 71.05, 71.05, 29.19 degrees
With the nearest neighbours (Å) after each atom.
Sites, in units of the cell vectors:
Tc (0.4631, 0.4631, 0.5357)  2 Co 2.55, 6 Tc 2.64-2.76
Co (0.7500, 0.7500, 0.7500)  4 Tc 2.55, 4 Sc 2.58, 2 Co 2.76
Sc (0.2500, 0.2500, 0.2500)  4 Co 2.58, 2 Sc 2.76
Tc (0.0369, 0.0369, 0.9643)  2 Co 2.55, 6 Tc 2.64-2.76

Entry 3:
Crystalline GaMoRh6 at its relaxed geometry, computed with GGA-PBE.

Energy relative to the elements = -308 meV/atom

Cell lengths 3.8595, 3.8595, 7.6939 Å; angles 90.00, 90.00, 90.00 degrees
With the nearest neighbours (Å) after each atom.
Sites, in units of the cell vectors:
Rh (0.5000, 0.0000, 0.2539)  8 Rh 2.70-2.75, 2 Mo 2.70, 2 Ga 2.75
Rh (0.5000, 0.0000, 0.7461)  8 Rh 2.70-2.75, 2 Mo 2.70, 2 Ga 2.75
Rh (0.5000, 0.5000, 0.5000)  8 Rh 2.70, 4 Mo 2.73
Rh (0.0000, 0.5000, 0.2539)  2 Mo 2.70, 8 Rh 2.70-2.75, 2 Ga 2.75
Ga (0.0000, 0.0000, 0.0000)  12 Rh 2.73-2.75
Mo (0.0000, 0.0000, 0.5000)  12 Rh 2.70-2.73
Rh (0.5000, 0.5000, 0.0000)  4 Ga 2.73, 8 Rh 2.75
Rh (0.0000, 0.5000, 0.7461)  2 Mo 2.70, 8 Rh 2.70-2.75, 2 Ga 2.75

Entry 4:
Crystalline Fe3Ag at its relaxed geometry, computed with GGA-PBE.

Energy relative to the elements = 385 meV/atom

Cell lengths 4.2404, 4.2404, 4.2404 Å; angles 60.00, 60.00, 60.00 degrees
With the nearest neighbours (Å) after each atom.
Sites, in units of the cell vectors:
Ag (0.0000, 0.0000, 0.0000)  8 Fe 2.60
Fe (0.5000, 0.5000, 0.5000)  8 Fe 2.60
Fe (0.2500, 0.2500, 0.2500)  4 Ag 2.60, 4 Fe 2.60
Fe (0.7500, 0.7500, 0.7500)  4 Fe 2.60, 4 Ag 2.60

Entry 5:
Crystalline Pu2AsO at its relaxed geometry, computed with GGA-PBE.

Energy above the most stable polymorph in this dataset = 0 meV per atom
Formation energy without anion corrections = -1.74 eV per atom

Cell lengths 4.4245, 4.4251, 8.5871 Å; angles 90.01, 90.01, 90.00 degrees
With the nearest neighbours (Å) after each atom.
Sites, in units of the cell vectors:
Pu (0.7500, 0.2500, 0.5000)  4 O 2.37
As (0.2502, 0.2502, 0.7890)  9 Pu 3.03-3.33, 1 O 3.33
Pu (0.2498, 0.2498, 0.1423)  1 O 2.22
O (0.7501, 0.7501, 0.5986)  5 Pu 2.22-2.37
Pu (0.2500, 0.7500, 0.5000)  4 O 2.37
O (0.2499, 0.2499, 0.4014)  5 Pu 2.22-2.37
As (0.7498, 0.7498, 0.2110)  9 Pu 3.03-3.33, 1 O 3.33
Pu (0.7502, 0.7502, 0.8577)  1 O 2.22

Entry 6:
Crystalline CsEuAs2 at its relaxed geometry, computed with GGA-PBE.

Energy relative to the elements = -783 meV/atom

Cell lengths 4.1308, 4.1308, 7.5593 Å; angles 90.00, 90.00, 90.00 degrees
With the nearest neighbours (Å) after each atom.
Sites, in units of the cell vectors:
Eu (0.5000, 0.5000, 0.0000)  8 As 3.17
Cs (0.5000, 0.5000, 0.5000)  2 Eu 3.78, 8 As 3.88, 4 Cs 4.13
As (0.0000, 0.0000, 0.8377)  1 As 2.45
As (0.0000, 0.0000, 0.1623)  1 As 2.45

Entry 7:
Crystalline Cd3P2 at its relaxed geometry, computed with GGA-PBE.

Energy above the most stable polymorph in this dataset = 12 meV per atom
Energy relative to the elements = -38 meV/atom

Cell lengths 10.8094, 10.8094, 10.8094 Å; angles 109.47, 109.47, 109.47 degrees
With the nearest neighbours (Å) after each atom.
Sites, in units of the cell vectors:
P (0.2500, 0.2342, 0.9842)  4 Cd 2.57-2.61
P (0.2500, 0.7342, 0.4842)  4 Cd 2.57-2.61
Cd (0.9560, 0.7238, 0.9734)  3 P 2.57-2.70
P (0.7342, 0.4842, 0.2500)  4 Cd 2.57-2.61
P (0.7500, 0.7658, 0.0158)  4 Cd 2.57-2.61
P (0.0158, 0.7500, 0.7658)  4 Cd 2.57-2.61
Cd (0.2238, 0.2679, 0.7504)  3 P 2.57-2.70
P (0.5000, 0.5000, 0.5000)  6 Cd 2.70
P (0.4842, 0.2500, 0.7342)  4 Cd 2.57-2.61
P (0.9842, 0.2500, 0.2342)  4 Cd 2.57-2.61
Cd (0.0440, 0.2762, 0.0266)  3 P 2.57-2.70
Cd (0.9734, 0.9560, 0.7238)  3 P 2.57-2.70
Cd (0.0266, 0.0440, 0.2762)  3 P 2.57-2.70
Cd (0.7496, 0.0174, 0.4734)  3 P 2.57-2.70
Cd (0.5266, 0.2504, 0.9826)  3 P 2.57-2.70
Cd (0.0174, 0.4734, 0.7496)  3 P 2.57-2.70
Cd (0.4734, 0.7496, 0.0174)  3 P 2.57-2.70
Cd (0.7679, 0.5440, 0.5174)  3 P 2.57-2.70
Cd (0.5440, 0.5174, 0.7679)  3 P 2.57-2.70
P (0.7500, 0.2658, 0.5158)  4 Cd 2.57-2.61
Cd (0.2679, 0.7504, 0.2238)  3 P 2.57-2.70
Cd (0.7762, 0.7321, 0.2496)  3 P 2.57-2.70
P (0.2658, 0.5158, 0.7500)  4 Cd 2.57-2.61
Cd (0.2762, 0.0266, 0.0440)  3 P 2.57-2.70
Cd (0.2504, 0.9826, 0.5266)  3 P 2.57-2.70
P (0.7658, 0.0158, 0.7500)  4 Cd 2.57-2.61
Cd (0.7321, 0.2496, 0.7762)  3 P 2.57-2.70
P (0.2342, 0.9842, 0.2500)  4 Cd 2.57-2.61
Cd (0.7238, 0.9734, 0.9560)  3 P 2.57-2.70
Cd (0.4826, 0.2321, 0.4560)  3 P 2.57-2.70
Cd (0.9826, 0.5266, 0.2504)  3 P 2.57-2.70
Cd (0.5174, 0.7679, 0.5440)  3 P 2.57-2.70
Cd (0.2496, 0.7762, 0.7321)  3 P 2.57-2.70
P (0.0000, 0.5000, 0.0000)  6 Cd 2.70
P (0.5000, 0.0000, 0.0000)  6 Cd 2.70
Cd (0.2321, 0.4560, 0.4826)  3 P 2.57-2.70
Cd (0.4560, 0.4826, 0.2321)  3 P 2.57-2.70
Cd (0.7504, 0.2238, 0.2679)  3 P 2.57-2.70
P (0.5158, 0.7500, 0.2658)  4 Cd 2.57-2.61
P (0.0000, 0.0000, 0.5000)  6 Cd 2.70

Entry 8:
Crystalline ErSc3Pt2 at its relaxed geometry, computed with GGA-PBE.

Energy relative to the elements = -996 meV/atom

Cell lengths 4.5376, 6.7855, 8.3401 Å; angles 90.00, 90.00, 90.00 degrees
With the nearest neighbours (Å) after each atom.
Sites, in units of the cell vectors:
Sc (0.0000, 0.4850, 0.9234)  3 Pt 2.75-2.94
Sc (0.5000, 0.6455, 0.1681)  4 Pt 2.71-2.81
Pt (0.5000, 0.2470, 0.1488)  6 Sc 2.71-2.94, 1 Er 2.79
Er (0.5000, 0.5143, 0.5749)  3 Pt 2.79-2.96
Pt (0.0000, 0.7517, 0.3467)  5 Sc 2.69-2.89, 2 Er 2.96
Sc (0.5000, 0.1455, 0.8319)  4 Pt 2.71-2.81
Sc (0.0000, 0.3565, 0.3169)  4 Pt 2.69-2.89
Pt (0.5000, 0.7470, 0.8512)  6 Sc 2.71-2.94, 1 Er 2.79
Sc (0.0000, 0.8565, 0.6831)  4 Pt 2.69-2.89
Pt (0.0000, 0.2517, 0.6533)  5 Sc 2.69-2.89, 2 Er 2.96
Sc (0.0000, 0.9850, 0.0766)  3 Pt 2.75-2.94
Er (0.5000, 0.0143, 0.4251)  3 Pt 2.79-2.96

Entry 9:
Crystalline Sc3AuN at its relaxed geometry, computed with GGA-PBE.

Formation energy without anion corrections = -1.10 eV per atom

Cell lengths 6.1246, 5.4312, 6.1265 Å; angles 100.04, 117.42, 80.06 degrees
With the nearest neighbours (Å) after each atom.
Sites, in units of the cell vectors:
Sc (0.1243, 0.2198, 0.4954)  2 N 2.19-2.23
Sc (0.4800, 0.7965, 0.1868)  2 N 2.19-2.23
Sc (0.6320, 0.3344, 0.5065)  2 N 2.16-2.23
N (0.8021, 0.5081, 0.3410)  6 Sc 2.16-2.23
Au (0.4536, 0.7824, 0.6882)  5 Sc 2.76-3.00
Sc (0.6530, 0.2179, 0.0188)  2 N 2.19-2.23
Au (0.1507, 0.2338, 0.9939)  5 Sc 2.76-3.00
Sc (0.9513, 0.7984, 0.6633)  2 N 2.19-2.23
N (0.8021, 0.0082, 0.3410)  6 Sc 2.19-2.23
Sc (0.9722, 0.6819, 0.1756)  2 N 2.16-2.23

Entry 10:
Crystalline BaGd2Cu at its relaxed geometry, computed with GGA-PBE.

Energy relative to the elements = 30 meV/atom

Cell lengths 3.6465, 3.6465, 9.6361 Å; angles 90.00, 90.00, 90.00 degrees
With the nearest neighbours (Å) after each atom.
Sites, in units of the cell vectors:
Gd (0.0000, 0.0000, 0.8346)  4 Cu 3.03, 1 Gd 3.19
Cu (0.5000, 0.5000, 0.0000)  8 Gd 3.03
Ba (0.5000, 0.5000, 0.5000)  4 Ba 3.65
Gd (0.0000, 0.0000, 0.1654)  4 Cu 3.03, 1 Gd 3.19

Entry 11:
Crystalline CaZrFe2 at its relaxed geometry, computed with GGA-PBE.

Energy relative to the elements = 218 meV/atom

Cell lengths 3.7084, 3.9356, 5.8312 Å; angles 70.29, 90.00, 90.00 degrees
With the nearest neighbours (Å) after each atom.
Sites, in units of the cell vectors:
Fe (0.5000, 0.0530, 0.2693)  2 Fe 2.24
Fe (0.0000, 0.1681, 0.0390)  2 Fe 2.24
Ca (0.5000, 0.7806, 0.8137)  7 Fe 2.97-3.18
Zr (0.0000, 0.4984, 0.3780)  6 Fe 2.71-2.77

Number 1: calculated density 5.3 g/cm3, DOS at the Fermi energy 7.507 states/eV/f.u., final energy -66.22 eV/cell. Number 2: calculated density 8.3 g/cm3, DOS at the Fermi energy 4.689 states/eV/f.u., final energy -34.15 eV/cell. Number 3: calculated density 11.3 g/cm3, DOS at the Fermi energy 5.903 states/eV/f.u., final energy -60.43 eV/cell. Number 4: calculated density 8.5 g/cm3, DOS at the Fermi energy 4.426 states/eV/f.u., final energy -26.70 eV/cell. Number 5: calculated density 11.4 g/cm3, DOS at the Fermi energy 13.307 states/eV/f.u., final energy -90.44 eV/cell. Number 6: calculated density 5.6 g/cm3, DOS at the Fermi energy 8.104 states/eV/f.u., final energy -23.56 eV/cell. Number 7: calculated density 5.5 g/cm3, DOS at the Fermi energy 0.485 states/eV/f.u., final energy -110.05 eV/cell. Number 8: calculated density 9.0 g/cm3, DOS at the Fermi energy 6.510 states/eV/f.u., final energy -83.23 eV/cell. Number 9: calculated density 6.5 g/cm3, DOS at the Fermi energy 0.618 states/eV/f.u., final energy -72.24 eV/cell. Number 10: calculated density 6.7 g/cm3, DOS at the Fermi energy 6.591 states/eV/f.u., final energy -34.06 eV/cell. Number 11: calculated density 5.0 g/cm3, DOS at the Fermi energy 4.108 states/eV/f.u., final energy -26.60 eV/cell.